# 1
Entry from the Alexandria database: a relaxed structure of LaPrNiGe (PBE-GGA).

It has space group F-43m (No. 216), with a = 7.313 Å, b = 7.313 Å, c = 7.313 Å, α = 90.00°, β = 90.00° and γ = 90.00°. Symmetry generates all atoms from La at (0.000, 0.000, 0.000), Pr at (0.000, 0.000, 0.500), Ni at (0.250, 0.250, 0.250) and Ge at (0.250, 0.250, 0.750).

The formation energy comes out at -0.43 eV per atom.

---

# 2
Entry from the Alexandria database: a relaxed structure of Y3Cl (PBE-GGA).

It has space group P4/mmm (No. 123), with a = 3.476 Å, b = 3.476 Å, c = 9.445 Å, α = 90.00°, β = 90.00° and γ = 90.00°. Symmetry generates all atoms from Y at (0.000, 0.000, 0.000), Y at (0.500, 0.500, 0.269) and Cl at (0.000, 0.000, 0.500).

The value obtained for the energy relative to the elements, uncorrected is -0.51 eV per atom. The excess energy over the best structure of this formula in the dataset is 148 meV per atom.

---

# 3
Entry from the Alexandria database: a relaxed structure of HfBC (PBE-GGA).

It has space group Pnma (No. 62), with a = 5.039 Å, b = 2.904 Å, c = 8.695 Å, α = 90.00°, β = 90.00° and γ = 90.00°. Symmetry generates all atoms from Hf at (0.232, 0.250, 0.120), B at (0.239, 0.250, 0.396) and C at (0.155, 0.250, 0.846).

The excess energy over the best structure of this formula in the dataset is 0 meV per atom. The formation energy comes out at -0.29 eV per atom.

---

# 4
Entry from the Alexandria database: a relaxed structure of Cu2Ni6Rh (PBE-GGA).

It has space group C2/m (No. 12), with a = 8.340 Å, b = 2.529 Å, c = 10.066 Å, α = 90.00°, β = 94.78° and γ = 90.00°. Symmetry generates all atoms from Cu at (0.150, 0.000, 0.175), Ni at (0.069, 0.500, 0.722), Ni at (0.132, 0.000, 0.935), Ni at (0.218, 0.500, 0.390) and Rh at (0.000, 0.000, 0.500).

The excess energy over the best structure of this formula in the dataset is 0 meV per atom. The formation energy comes out at 0.10 eV per atom.

---

# 5
Entry from the Alexandria database: a relaxed structure of NdSn2Hg (PBE-GGA).

It has space group P4/mmm (No. 123), with a = 4.794 Å, b = 4.794 Å, c = 4.566 Å, α = 90.00°, β = 90.00° and γ = 90.00°. Symmetry generates all atoms from Nd at (0.000, 0.000, 0.000), Sn at (0.000, 0.500, 0.500) and Hg at (0.500, 0.500, 0.000).

The formation energy comes out at -0.50 eV per atom.

---

# 6
Entry from the Alexandria database: a relaxed structure of Pm2Zn3Ge2 (PBE-GGA).

It has space group Cmmm (No. 65), with a = 3.885 Å, b = 19.572 Å, c = 4.144 Å, α = 90.00°, β = 90.00° and γ = 90.00°. Symmetry generates all atoms from Pm at (0.000, 0.162, 0.000), Zn at (0.000, 0.000, 0.000), Zn at (0.000, 0.436, 0.500) and Ge at (0.000, 0.293, 0.500).

The formation energy comes out at -0.34 eV per atom.

---

Number 1: volume 24.4 A^3/atom. Number 2: volume 28.5 A^3/atom. Number 3: volume 10.6 A^3/atom. Number 4: volume 11.8 A^3/atom. Number 5: volume 26.2 A^3/atom. Number 6: volume 22.5 A^3/atom.